DFT (PBEsol) results for a relaxed Dy4MgS7 crystal.

The space group is Cm (No. 8) and the conventional cell measures 12.436, 3.759 and 11.307 Å, with angles of 90.00, 105.31 and 90.00 degrees. The distinct sites, in fractional coordinates, are Dy at (0.000, 0.000, 0.000), Dy at (0.088, 0.500, 0.370), Dy at (0.194, 0.500, 0.808), Dy at (0.386, 0.000, 0.595), Mg at (0.317, 0.500, 0.226), S at (0.033, 0.000, 0.748), S at (0.160, 0.500, 0.029), S at (0.218, 0.000, 0.317), S at (0.233, 0.500, 0.589), S at (0.356, 0.000, 0.850), S at (0.432, 0.000, 0.152) and S at (0.460, 0.500, 0.444).

As for the calculated total energy: -76.314 eV/f.u.

---

DFT (PBEsol) results for a relaxed Dy2MgS4 crystal.

The space group is I-42d (No. 122) and the conventional cell measures 8.036, 8.036 and 8.357 Å, with angles of 90.00, 90.00 and 90.00 degrees. The distinct sites, in fractional coordinates, are Dy at (0.129, 0.750, 0.125), Mg at (0.000, 0.000, 0.500) and S at (0.070, 0.691, 0.442).

For the offset from the most stable computed form, the calculation gives 5 meV per atom. The density of states at the Fermi level comes out at 0.000 states/eV per cell.

---

DFT (PBEsol) results for a relaxed Dy2MgS4 crystal.

The space group is Pnma (No. 62) and the conventional cell measures 12.467, 3.804 and 13.138 Å, with angles of 90.00, 90.00 and 90.00 degrees. The distinct sites, in fractional coordinates, are Dy at (0.117, 0.250, 0.077), Dy at (0.139, 0.250, 0.705), Mg at (0.114, 0.750, 0.449), S at (0.010, 0.750, 0.616), S at (0.029, 0.250, 0.884), S at (0.225, 0.250, 0.253) and S at (0.240, 0.250, 0.516).

For the offset from the most stable computed form, the calculation gives 38 meV per atom. The density of states at the Fermi level comes out at 0.000 states/eV per cell.

---

DFT (PBEsol) results for a relaxed Dy3Mg2TiS8 crystal.

The space group is R-3m (No. 166, hexagonal axes) and the conventional cell measures 7.7286, 7.7286 and 18.4764 Å, with angles of 90.00, 90.00 and 120.00 degrees. The distinct sites, in fractional coordinates, are Dy at (0.0000, 0.5000, 0.0000), Mg at (0.0000, 0.0000, 0.1238), Ti at (0.0000, 0.0000, 0.5000), S at (0.0000, 0.0000, 0.2544) and S at (0.0248, 0.5124, 0.2447).

As for the calculated total energy: -86.029 eV/f.u. The density of states at the Fermi level comes out at 12.418 states/eV per cell.

---

DFT (PBEsol) results for a relaxed DyMgTiS4 crystal.

The space group is Imma (No. 74) and the conventional cell measures 7.284, 7.687 and 10.701 Å, with angles of 90.00, 90.00 and 90.00 degrees. The distinct sites, in fractional coordinates, are Dy at (0.000, 0.000, 0.000), Mg at (0.000, 0.250, 0.370), Ti at (0.250, 0.250, 0.750), S at (0.000, 0.026, 0.748) and S at (0.248, 0.250, 0.520).

As for the calculated total energy: -43.712 eV/f.u. The density of states at the Fermi level comes out at 12.799 states/eV per cell.

---

DFT (PBEsol) results for a relaxed DyMg2Sc crystal.

The space group is Fm-3m (No. 225) and the conventional cell measures 7.302, 7.302 and 7.302 Å, with angles of 90.00, 90.00 and 90.00 degrees. The distinct sites, in fractional coordinates, are Dy at (0.000, 0.000, 0.000), Mg at (0.250, 0.250, 0.250) and Sc at (0.000, 0.000, 0.500).

The density of states at the Fermi level comes out at 21.250 states/eV per cell. The value obtained for the formation energy is -0.043 eV/atom.

---

DFT (PBEsol) results for a relaxed Dy2MgSe4 crystal.

The space group is I-42d (No. 122) and the conventional cell measures 8.413, 8.413 and 8.756 Å, with angles of 90.00, 90.00 and 90.00 degrees. The distinct sites, in fractional coordinates, are Dy at (0.125, 0.250, 0.125), Mg at (0.000, 0.000, 0.500) and Se at (0.069, 0.191, 0.808).

For the offset from the most stable computed form, the calculation gives 19 meV per atom. The density of states at the Fermi level comes out at 0.000 states/eV per cell.

---

DFT (PBEsol) results for a relaxed Dy2MgSe4 crystal.

The space group is Pnma (No. 62) and the conventional cell measures 12.997, 3.964 and 13.773 Å, with angles of 90.00, 90.00 and 90.00 degrees. The distinct sites, in fractional coordinates, are Dy at (0.115, 0.250, 0.076), Dy at (0.142, 0.250, 0.702), Mg at (0.113, 0.750, 0.451), Se at (0.009, 0.750, 0.618), Se at (0.031, 0.250, 0.882), Se at (0.221, 0.250, 0.253) and Se at (0.242, 0.250, 0.513).

For the offset from the most stable computed form, the calculation gives 37 meV per atom.

---

DFT (PBEsol) results for a relaxed Dy2MgSe4 crystal.

The space group is Fd-3m (No. 227, origin choice 2) and the conventional cell measures 11.534, 11.534 and 11.534 Å, with angles of 90.00, 90.00 and 90.00 degrees. The distinct sites, in fractional coordinates, are Dy at (0.000, 0.000, 0.000), Mg at (0.125, 0.125, 0.625) and Se at (0.005, 0.005, 0.245).

For the offset from the most stable computed form, the calculation gives 0 meV per atom.

---

DFT (PBEsol) results for a relaxed DyMgSe3 crystal.

The space group is C2/m (No. 12) and the conventional cell measures 8.155, 11.843 and 6.124 Å, with angles of 90.00, 119.69 and 90.00 degrees. The distinct sites, in fractional coordinates, are Dy at (0.230, 0.000, 0.178), Mg at (0.000, 0.327, 0.000), Se at (0.022, 0.153, 0.758) and Se at (0.108, 0.500, 0.307).

As for the calculated total energy: -23.996 eV/f.u. The density of states at the Fermi level comes out at 2.546 states/eV per cell.

---

DFT (PBEsol) results for a relaxed Dy2MgSi2 crystal.

The space group is P4/mbm (No. 127) and the conventional cell measures 7.110, 7.110 and 4.146 Å, with angles of 90.00, 90.00 and 90.00 degrees. The distinct sites, in fractional coordinates, are Dy at (0.178, 0.322, 0.000), Mg at (0.000, 0.000, 0.500) and Si at (0.118, 0.618, 0.500).

As for the calculated total energy: -26.972 eV/f.u. The density of states at the Fermi level comes out at 3.568 states/eV per cell.

---

DFT (PBEsol) results for a relaxed DyMgSn crystal.

The space group is I4/mmm (No. 139) and the conventional cell measures 4.340, 4.340 and 15.719 Å, with angles of 90.00, 90.00 and 90.00 degrees. The distinct sites, in fractional coordinates, are Dy at (0.000, 0.000, 0.167), Mg at (0.000, 0.500, 0.000) and Sn at (0.000, 0.000, 0.363).

The density of states at the Fermi level comes out at 4.345 states/eV per cell. The value obtained for the formation energy is -0.610 eV/atom.

---

DFT (PBEsol) results for a relaxed DyMgTl2 crystal.

The space group is Fm-3m (No. 225) and the conventional cell measures 7.327, 7.327 and 7.327 Å, with angles of 90.00, 90.00 and 90.00 degrees. The distinct sites, in fractional coordinates, are Dy at (0.000, 0.000, 0.000), Mg at (0.000, 0.000, 0.500) and Tl at (0.250, 0.250, 0.250).

The density of states at the Fermi level comes out at 7.285 states/eV per cell. The value obtained for the formation energy is -0.281 eV/atom.

---

DFT (PBEsol) results for a relaxed Dy2MgTl crystal.

The space group is Fm-3m (No. 225) and the conventional cell measures 7.431, 7.431 and 7.431 Å, with angles of 90.00, 90.00 and 90.00 degrees. The distinct sites, in fractional coordinates, are Dy at (0.250, 0.250, 0.250), Mg at (0.000, 0.000, 0.000) and Tl at (0.000, 0.000, 0.500).

The density of states at the Fermi level comes out at 14.568 states/eV per cell. The value obtained for the formation energy is -0.271 eV/atom.

---

DFT (PBEsol) results for a relaxed DyMgZn2 crystal.

The space group is Fm-3m (No. 225) and the conventional cell measures 6.714, 6.714 and 6.714 Å, with angles of 90.00, 90.00 and 90.00 degrees. The distinct sites, in fractional coordinates, are Dy at (0.000, 0.000, 0.000), Mg at (0.000, 0.000, 0.500) and Zn at (0.250, 0.250, 0.250).

The density of states at the Fermi level comes out at 5.252 states/eV per cell. The value obtained for the formation energy is -0.342 eV/atom.

---

DFT (PBEsol) results for a relaxed DyMn2O5 crystal.

The space group is Pbam (No. 55) and the conventional cell measures 7.183, 8.443 and 5.653 Å, with angles of 90.00, 90.00 and 90.00 degrees. The distinct sites, in fractional coordinates, are Dy at (0.137, 0.172, 0.000), Mn at (0.000, 0.500, 0.254), Mn at (0.088, 0.850, 0.500), O at (0.000, 0.000, 0.271), O at (0.105, 0.708, 0.244), O at (0.155, 0.434, 0.500) and O at (0.166, 0.444, 0.000).

As for the calculated total energy: -69.633 eV/f.u. The density of states at the Fermi level comes out at 0.855 states/eV per cell.

---

DFT (PBEsol) results for a relaxed Dy2Mn2O7 crystal.

The space group is Fd-3m (No. 227, origin choice 2) and the conventional cell measures 9.853, 9.853 and 9.853 Å, with angles of 90.00, 90.00 and 90.00 degrees. The distinct sites, in fractional coordinates, are Dy at (0.000, 0.000, 0.000), Mn at (0.000, 0.000, 0.500), O at (0.078, 0.375, 0.875) and O at (0.125, 0.125, 0.125).

As for the calculated total energy: -95.263 eV/f.u.

---

DFT (PBEsol) results for a relaxed Sr2DyMnO6 crystal.

The space group is Fm-3m (No. 225) and the conventional cell measures 8.023, 8.023 and 8.023 Å, with angles of 90.00, 90.00 and 90.00 degrees. The distinct sites, in fractional coordinates, are Sr at (0.250, 0.250, 0.250), Dy at (0.000, 0.000, 0.000), Mn at (0.000, 0.000, 0.500) and O at (0.000, 0.000, 0.270).

As for the calculated total energy: -75.905 eV/f.u. The density of states at the Fermi level comes out at 25.787 states/eV per cell.

---

DFT (PBEsol) results for a relaxed DyMn6Sn6 crystal.

The space group is P6/mmm (No. 191) and the conventional cell measures 5.3643, 5.3643 and 8.8217 Å, with angles of 90.00, 90.00 and 120.00 degrees. The distinct sites, in fractional coordinates, are Dy at (0.0000, 0.0000, 0.0000), Mn at (0.0000, 0.5000, 0.2482), Sn at (0.0000, 0.0000, 0.3335), Sn at (0.3333, 0.6667, 0.0000) and Sn at (0.3333, 0.6667, 0.5000).

The density of states at the Fermi level comes out at 5.599 states/eV per cell. The value obtained for the formation energy is -0.134 eV/atom.